# PBE-GGA La2PmNd4Th, optimized geometry
data_La2PmNd4Th
_cell_length_a 6.3841
_cell_length_b 3.6740
_cell_length_c 12.1717
_cell_angle_alpha 90.00
_cell_angle_beta 99.99
_cell_angle_gamma 90.00
_space_group_name_H-M_alt 'P 1 2/m 1'
_space_group_IT_number 10
loop_
_space_group_symop_operation_xyz
'x,y,z'
'-x,-y,-z'
'-x,y,-z'
'x,-y,z'
loop_
_atom_site_label
_atom_site_type_symbol
_atom_site_fract_x
_atom_site_fract_y
_atom_site_fract_z
_atom_site_occupancy
La1 La 0.0000 0.0000 0.0000 1
La2 La 0.0000 0.5000 0.5000 1
Pm1 Pm 0.5000 0.0000 0.5000 1
Nd1 Nd 0.2545 0.5000 0.2487 1
Nd2 Nd 0.2577 0.0000 0.7568 1
Th1 Th 0.5000 0.5000 0.0000 1
# Energy of formation = 0.235 eV/f.u.

---

# PBE-GGA La4Pm2NdTh, optimized geometry
data_La4Pm2NdTh
_cell_length_a 6.3766
_cell_length_b 3.6724
_cell_length_c 12.2323
_cell_angle_alpha 90.00
_cell_angle_beta 99.82
_cell_angle_gamma 90.00
_space_group_name_H-M_alt 'P 1 2/m 1'
_space_group_IT_number 10
loop_
_space_group_symop_operation_xyz
'x,y,z'
'-x,-y,-z'
'-x,y,-z'
'x,-y,z'
loop_
_atom_site_label
_atom_site_type_symbol
_atom_site_fract_x
_atom_site_fract_y
_atom_site_fract_z
_atom_site_occupancy
La1 La 0.2416 0.0000 0.2444 1
La2 La 0.2479 0.5000 0.7526 1
Pm1 Pm 0.5000 0.0000 0.0000 1
Pm2 Pm 0.5000 0.5000 0.5000 1
Nd1 Nd 0.0000 0.0000 0.5000 1
Th1 Th 0.0000 0.5000 0.0000 1
# Energy of formation = 0.251 eV/f.u.

---

# PBE-GGA LaPm2Nd5Th, optimized geometry
data_LaPm2Nd5Th
_cell_length_a 5.7998
_cell_length_b 20.5118
_cell_length_c 10.6914
_cell_angle_alpha 90.00
_cell_angle_beta 90.00
_cell_angle_gamma 90.00
_space_group_name_H-M_alt 'C m c 21'
_space_group_IT_number 36
loop_
_space_group_symop_operation_xyz
'x,y,z'
'-x,-y,z+1/2'
'-x,y,z'
'x,-y,z+1/2'
'x+1/2,y+1/2,z'
'-x+1/2,-y+1/2,z+1/2'
'-x+1/2,y+1/2,z'
'x+1/2,-y+1/2,z+1/2'
loop_
_atom_site_label
_atom_site_type_symbol
_atom_site_fract_x
_atom_site_fract_y
_atom_site_fract_z
_atom_site_occupancy
La1 La 0.0000 0.0870 0.0000 1
Pm1 Pm 0.0000 0.3843 0.8719 1
Pm2 Pm 0.0000 0.3848 0.2833 1
Nd1 Nd 0.0000 0.0206 0.2917 1
Nd2 Nd 0.0000 0.1141 0.5771 1
Nd3 Nd 0.0000 0.2064 0.2558 1
Nd4 Nd 0.0000 0.2232 0.8694 1
Nd5 Nd 0.0000 0.4840 0.5762 1
Th1 Th 0.0000 0.3004 0.5652 1
# Energy of formation = 1.367 eV/f.u.

---

# PBE-GGA La2PmNd4Tl2, optimized geometry
data_La2PmNd4Tl2
_cell_length_a 6.6572
_cell_length_b 6.7927
_cell_length_c 8.3732
_cell_angle_alpha 66.64
_cell_angle_beta 78.57
_cell_angle_gamma 62.30
_space_group_name_H-M_alt 'P -1'
_space_group_IT_number 2
loop_
_space_group_symop_operation_xyz
'x,y,z'
'-x,-y,-z'
loop_
_atom_site_label
_atom_site_type_symbol
_atom_site_fract_x
_atom_site_fract_y
_atom_site_fract_z
_atom_site_occupancy
La1 La 0.1874 0.0098 0.1335 1
Pm1 Pm 0.5000 0.5000 0.5000 1
Nd1 Nd 0.0803 0.4627 0.2888 1
Nd2 Nd 0.3357 0.9739 0.6863 1
Tl1 Tl 0.3465 0.4520 0.9137 1
# Energy of formation = -0.863 eV/f.u.

---

| no. | calculated volume (A^3/atom) |
| --- | --- |
| 1 | 35.14 |
| 2 | 35.28 |
| 3 | 35.33 |
| 4 | 34.19 |